Entry 1:
A plane-wave DFT calculation with GGA-PBE was carried out for a geometry-optimized DyCuPbAu structure.

Results
E_form = -364 meV per atom
crystal system = cubic

Cell: 4.9486 4.9486 4.9486 Å, 60.00 60.00 60.00°
Fractional positions:
1 Pb 0.5000 0.5000 0.5000
2 Au 0.7500 0.7500 0.7500
3 Cu 0.2500 0.2500 0.2500
4 Dy 0.0000 0.0000 0.0000


Entry 2:
A plane-wave DFT calculation with GGA-PBE was carried out for a geometry-optimized PrDyCuAu structure.

Results
excess energy over the best structure of this formula in the dataset = 38 meV per atom
E_form = -469 meV per atom
crystal system = cubic

Cell: 5.1253 5.1253 5.1253 Å, 60.00 60.00 60.00°
Fractional positions:
1 Pr 0.0000 0.0000 0.0000
2 Au 0.2500 0.2500 0.2500
3 Cu 0.7500 0.7500 0.7500
4 Dy 0.5000 0.5000 0.5000


Entry 3:
A plane-wave DFT calculation with GGA-PBE was carried out for a geometry-optimized PrDyCuAu structure.

Results
excess energy over the best structure of this formula in the dataset = 0 meV per atom
E_form = -506 meV per atom
crystal system = orthorhombic

Cell: 3.8482 4.5844 5.8642 Å, 90.00 109.15 90.00°
Fractional positions:
1 Pr 0.8593 0.5000 0.7187
2 Dy 0.1374 0.0000 0.2748
3 Cu 0.4240 0.0000 0.8480
4 Au 0.5793 0.5000 0.1586


Entry 4:
A plane-wave DFT calculation with GGA-PBE was carried out for a geometry-optimized DyScCuAu structure.

Results
E_form = -519 meV per atom
crystal system = cubic

Cell: 4.8810 4.8810 4.8810 Å, 60.00 60.00 60.00°
Fractional positions:
1 Sc 0.5000 0.5000 0.5000
2 Au 0.7500 0.7500 0.7500
3 Cu 0.2500 0.2500 0.2500
4 Dy 0.0000 0.0000 0.0000


Entry 5:
A plane-wave DFT calculation with GGA-PBE was carried out for a geometry-optimized DyCuSi2Au structure.

Results
formation energy without anion corrections = -578 meV/atom
crystal system = tetragonal

Cell: 4.1106 4.1106 5.8749 Å, 110.48 110.48 90.00°
Fractional positions:
1 Dy 0.0000 0.0000 0.0000
2 Cu 0.2500 0.7500 0.5000
3 Si 0.6135 0.6135 0.2269
4 Si 0.3865 0.3865 0.7731
5 Au 0.7500 0.2500 0.5000


Entry 6:
A plane-wave DFT calculation with GGA-PBE was carried out for a geometry-optimized DyCuSnAu structure.

Results
E_form = -501 meV per atom
crystal system = cubic

Cell: 4.8668 4.8668 4.8668 Å, 60.00 60.00 60.00°
Fractional positions:
1 Au 0.0000 0.0000 0.0000
2 Sn 0.2500 0.2500 0.2500
3 Cu 0.5000 0.5000 0.5000
4 Dy 0.7500 0.7500 0.7500


Entry 7:
A plane-wave DFT calculation with GGA-PBE was carried out for a geometry-optimized SrDyCuAu structure.

Results
E_form = -367 meV per atom
crystal system = cubic

Cell: 5.1724 5.1724 5.1724 Å, 60.00 60.00 60.00°
Fractional positions:
1 Sr 0.5000 0.5000 0.5000
2 Au 0.7500 0.7500 0.7500
3 Cu 0.2500 0.2500 0.2500
4 Dy 0.0000 0.0000 0.0000


Entry 8:
A plane-wave DFT calculation with GGA-PBE was carried out for a geometry-optimized DyTmCuAu structure.

Results
E_form = -564 meV per atom
crystal system = cubic

Cell: 4.9788 4.9788 4.9788 Å, 60.00 60.00 60.00°
Fractional positions:
1 Tm 0.5000 0.5000 0.5000
2 Au 0.7500 0.7500 0.7500
3 Cu 0.2500 0.2500 0.2500
4 Dy 0.0000 0.0000 0.0000


Entry 9:
A plane-wave DFT calculation with GGA-PBE was carried out for a geometry-optimized Dy4ZnCu2Au structure.

Results
E_form = -425 meV per atom
crystal system = trigonal

Cell: 4.9819 4.9819 8.6910 Å, 73.34 73.34 60.00°
Fractional positions:
1 Dy 0.3752 0.3752 0.8743
2 Dy 0.8752 0.8752 0.3745
3 Dy 0.1248 0.1248 0.6255
4 Dy 0.6248 0.6248 0.1257
5 Zn 0.0000 0.0000 0.0000
6 Cu 0.7446 0.7446 0.7664
7 Cu 0.2554 0.2554 0.2336
8 Au 0.5000 0.5000 0.5000


Entry 10:
A plane-wave DFT calculation with GGA-PBE was carried out for a geometry-optimized DyZn2CuAu4 structure.

Results
E_form = -376 meV per atom
crystal system = trigonal

Cell: 4.4761 4.4761 8.8034 Å, 75.27 75.27 60.00°
Fractional positions:
1 Dy 0.0000 0.0000 0.0000
2 Zn 0.7575 0.7575 0.7276
3 Zn 0.2425 0.2425 0.2724
4 Cu 0.5000 0.5000 0.5000
5 Au 0.3950 0.3950 0.8149
6 Au 0.8702 0.8702 0.3893
7 Au 0.1298 0.1298 0.6107
8 Au 0.6050 0.6050 0.1851


Entry 11:
A plane-wave DFT calculation with GGA-PBE was carried out for a geometry-optimized Dy2Zn12Cu3Au structure.

Results
E_form = 225 meV per atom
crystal system = trigonal

Cell: 7.9463 7.9463 7.9463 Å, 62.35 62.35 62.35°
Fractional positions:
1 Dy 0.6069 0.6069 0.6069
2 Dy 0.3931 0.3931 0.3931
3 Zn 0.3531 0.3531 0.8856
4 Zn 0.8672 0.8672 0.3885
5 Zn 0.3885 0.8672 0.8672
6 Zn 0.8856 0.3531 0.3531
7 Zn 0.8672 0.3885 0.8672
8 Zn 0.3531 0.8856 0.3531
9 Zn 0.6469 0.6469 0.1144
10 Zn 0.1328 0.1328 0.6115
11 Zn 0.6115 0.1328 0.1328
12 Zn 0.1144 0.6469 0.6469
13 Zn 0.1328 0.6115 0.1328
14 Zn 0.6469 0.1144 0.6469
15 Cu 0.5000 0.0000 0.0000
16 Cu 0.0000 0.5000 0.0000
17 Cu 0.0000 0.0000 0.5000
18 Au 0.0000 0.0000 0.0000


Entry 12:
A plane-wave DFT calculation with GGA-PBE was carried out for a geometry-optimized Er2CuAu structure.

Results
E_form = -577 meV per atom
crystal system = tetragonal

Cell: 3.5133 3.5133 6.9791 Å, 90.00 90.00 90.00°
Fractional positions:
1 Au 0.5000 0.5000 0.5000
2 Cu 0.5000 0.5000 0.0000
3 Er 0.0000 0.0000 0.7581
4 Er 0.0000 0.0000 0.2419


Entry 13:
A plane-wave DFT calculation with GGA-PBE was carried out for a geometry-optimized Er4CuAu3 structure.

Results
excess energy over the best structure of this formula in the dataset = 0 meV per atom
E_form = -735 meV per atom
crystal system = orthorhombic

Cell: 3.6751 4.6186 10.8095 Å, 90.00 90.00 90.00°
Fractional positions:
1 Er 0.5000 0.5000 0.3553
2 Er 0.0000 0.5000 0.8649
3 Er 0.0000 0.0000 0.1372
4 Er 0.5000 0.0000 0.6411
5 Cu 0.5000 0.5000 0.0814
6 Au 0.0000 0.5000 0.5895
7 Au 0.0000 0.0000 0.4103
8 Au 0.5000 0.0000 0.9203


Entry 14:
A plane-wave DFT calculation with GGA-PBE was carried out for a geometry-optimized Er3CuAu2 structure.

Results
E_form = -680 meV per atom
crystal system = tetragonal

Cell: 3.5182 3.5182 10.6492 Å, 90.00 90.00 90.00°
Fractional positions:
1 Er 0.0000 0.0000 0.0000
2 Er 0.0000 0.0000 0.6598
3 Er 0.0000 0.0000 0.3402
4 Cu 0.5000 0.5000 0.5000
5 Au 0.5000 0.5000 0.8286
6 Au 0.5000 0.5000 0.1714


Entry 15:
A plane-wave DFT calculation with GGA-PBE was carried out for a geometry-optimized Er8CuAu2 structure.

Results
E_form = -361 meV per atom
crystal system = monoclinic

Cell: 5.0600 6.7482 9.0880 Å, 104.76 106.16 90.00°
Fractional positions:
1 Er 0.4094 0.5513 0.8189
2 Er 0.6625 0.9706 0.3250
3 Er 0.7980 0.6825 0.5960
4 Er 0.9706 0.2188 0.9412
5 Er 0.2020 0.3175 0.4040
6 Er 0.3375 0.0294 0.6750
7 Er 0.5906 0.4487 0.1811
8 Er 0.0294 0.7812 0.0588
9 Cu 0.5000 0.0000 0.0000
10 Au 0.8125 0.2721 0.6251
11 Au 0.1875 0.7279 0.3749


Entry 16:
A plane-wave DFT calculation with GGA-PBE was carried out for a geometry-optimized Er3Cu3Au2 structure.

Results
E_form = -465 meV per atom
crystal system = hexagonal

Cell: 3.8822 6.9605 6.9605 Å, 120.00 90.00 90.00°
Fractional positions:
1 Er 0.5000 0.3627 0.3627
2 Er 0.5000 0.6373 0.0000
3 Er 0.5000 0.0000 0.6373
4 Cu 0.0000 0.7819 0.7819
5 Cu 0.0000 0.2181 0.0000
6 Cu 0.0000 0.0000 0.2181
7 Au 0.0000 0.3333 0.6667
8 Au 0.0000 0.6667 0.3333


Entry 17:
A plane-wave DFT calculation with GGA-PBE was carried out for a geometry-optimized Er6Cu2Au structure.

Results
E_form = -310 meV per atom
crystal system = orthorhombic

Cell: 8.3112 8.3112 8.3112 Å, 107.74 109.95 110.74°
Fractional positions:
1 Er 0.5467 0.7260 0.8207
2 Er 0.4533 0.2740 0.1793
3 Er 0.0946 0.2740 0.8207
4 Er 0.9054 0.7260 0.1793
5 Er 0.8103 0.7536 0.5639
6 Er 0.1897 0.2464 0.4361
7 Er 0.1897 0.7536 0.9434
8 Er 0.8103 0.2464 0.0566
9 Er 0.7007 0.3747 0.6741
10 Er 0.2993 0.6253 0.3259
11 Er 0.2993 0.9734 0.6741
12 Er 0.7007 0.0266 0.3259
13 Cu 0.5000 0.3784 0.8784
14 Cu 0.5000 0.6216 0.1216
15 Cu 0.6447 0.0000 0.6447
16 Cu 0.3553 0.0000 0.3553
17 Au 0.0000 0.5000 0.5000
18 Au 0.0000 0.0000 0.0000


Entry 18:
A plane-wave DFT calculation with GGA-PBE was carried out for a geometry-optimized Er2Cu15Au2 structure.

Results
E_form = -152 meV per atom
crystal system = trigonal

Cell: 6.5334 6.5334 6.5334 Å, 83.51 83.51 83.51°
Fractional positions:
1 Er 0.3459 0.3459 0.3459
2 Er 0.6541 0.6541 0.6541
3 Cu 0.5000 0.0000 0.0000
4 Cu 0.0000 0.0000 0.5000
5 Cu 0.0000 0.5000 0.0000
6 Cu 0.0000 0.6977 0.3023
7 Cu 0.6977 0.3023 0.0000
8 Cu 0.3023 0.0000 0.6977
9 Cu 0.3023 0.6977 0.0000
10 Cu 0.6977 0.0000 0.3023
11 Cu 0.0000 0.3023 0.6977
12 Cu 0.1613 0.6498 0.6498
13 Cu 0.6498 0.6498 0.1613
14 Cu 0.6498 0.1613 0.6498
15 Cu 0.8387 0.3502 0.3502
16 Cu 0.3502 0.3502 0.8387
17 Cu 0.3502 0.8387 0.3502
18 Au 0.1093 0.1093 0.1093
19 Au 0.8907 0.8907 0.8907


Entry 19:
A plane-wave DFT calculation with GGA-PBE was carried out for a geometry-optimized Er2CuAu structure.

Results
E_form = -576 meV per atom
crystal system = orthorhombic

Cell: 3.5161 4.9607 9.9195 Å, 90.00 90.00 90.00°
Fractional positions:
1 Er 0.0000 0.2500 0.1301
2 Er 0.0000 0.7500 0.8699
3 Er 0.0000 0.2500 0.6182
4 Er 0.0000 0.7500 0.3818
5 Cu 0.5000 0.2500 0.3784
6 Cu 0.5000 0.7500 0.6216
7 Au 0.5000 0.2500 0.8678
8 Au 0.5000 0.7500 0.1322


Entry 20:
A plane-wave DFT calculation with GGA-PBE was carried out for a geometry-optimized Er4CuAu3 structure.

Results
excess energy over the best structure of this formula in the dataset = 8 meV per atom
E_form = -727 meV per atom
crystal system = tetragonal

Cell: 3.5453 3.5453 14.1134 Å, 90.00 90.00 90.00°
Fractional positions:
1 Au 0.5000 0.5000 0.2448
2 Au 0.5000 0.5000 0.5000
3 Au 0.5000 0.5000 0.7552
4 Cu 0.5000 0.5000 0.0000
5 Er 0.0000 0.0000 0.8813
6 Er 0.0000 0.0000 0.1187
7 Er 0.0000 0.0000 0.3725
8 Er 0.0000 0.0000 0.6275